ZnCoIN2 after structural relaxation, computed with PBE.

Computed properties:
- N(E_F) (states/eV per atom) = 0.59
- crystal system = tetragonal
- DFT total energy (eV per cell) = -21.25
- energy above the most stable polymorph in this dataset (meV per atom) = 0.0
- magnetic moment (μB per atom) = 0.099

a b c (Å): 3.6663 3.6663 7.1594
angles (deg): 90.00 90.00 90.00
Each line ends with the local moment (μB).
Element x y z (fractional)
I  0.0000  0.0000  0.5000  0.00
Zn  0.5000  0.5000  0.5000  0.00
Co  0.0000  0.0000  0.0000  0.30
N  0.0000  0.5000  0.0000  0.07
N  0.5000  0.0000  0.0000  0.07